No. 1
Crystalline MgZr at its relaxed geometry, computed with PBE.

As for the density: 4.24 g/cm3.

The space group is Amm2 (No. 38) and the conventional cell measures 5.1108, 15.7894 and 5.6016 Å, with angles of 90.00, 90.00 and 90.00 degrees. Symmetry generates all atoms from Mg at (0.0000, 0.0000, 0.0000), Mg at (0.0000, 0.1989, 0.0038), Mg at (0.5000, 0.2005, 0.6789), Zr at (0.0000, 0.0955, 0.5070), Zr at (0.5000, 0.0000, 0.6805) and Zr at (0.5000, 0.0948, 0.1774).

=====

No. 2
Crystalline MgZr at its relaxed geometry, computed with PBE.

As for the density: 4.25 g/cm3.

The space group is Pmmn (No. 59, origin choice 2) and the conventional cell measures 3.0975, 5.0562 and 5.7643 Å, with angles of 90.00, 90.00 and 90.00 degrees. Symmetry generates all atoms from Mg at (0.2500, 0.2500, 0.0773) and Zr at (0.2500, 0.7500, 0.4373).

=====

No. 3
Crystalline MgZr at its relaxed geometry, computed with PBE.

As for the density: 4.26 g/cm3.

The space group is Amm2 (No. 38) and the conventional cell measures 5.0478, 16.5501 and 5.3921 Å, with angles of 90.00, 90.00 and 90.00 degrees. Symmetry generates all atoms from Mg at (0.0000, 0.0000, 0.0000), Mg at (0.0000, 0.1007, 0.5048), Mg at (0.5000, 0.1005, 0.8650), Zr at (0.0000, 0.1996, 0.0157), Zr at (0.5000, 0.0000, 0.3639) and Zr at (0.5000, 0.1993, 0.3746).

=====

No. 4
Crystalline MgZr2 at its relaxed geometry, computed with PBE.

As for the density: 5.01 g/cm3.

The space group is P2_1/m (No. 11) and the conventional cell measures 8.4839, 5.1079 and 12.8850 Å, with angles of 90.00, 101.00 and 90.00 degrees. Symmetry generates all atoms from Mg at (0.1078, 0.2500, 0.2633), Mg at (0.1134, 0.2500, 0.7636), Mg at (0.2222, 0.7500, 0.1537), Mg at (0.2218, 0.7500, 0.4022), Zr at (0.1057, 0.2500, 0.0107), Zr at (0.1090, 0.2500, 0.5143), Zr at (0.2254, 0.7500, 0.9094), Zr at (0.2284, 0.7500, 0.6496), Zr at (0.4413, 0.2500, 0.9291), Zr at (0.4417, 0.2500, 0.6799), Zr at (0.4477, 0.2500, 0.1808) and Zr at (0.4490, 0.2500, 0.4313).

=====

No. 5
Crystalline Mg4Zr3 at its relaxed geometry, computed with PBE.

As for the density: 3.86 g/cm3. As for the energy above the most stable polymorph in this dataset: 0.6 kJ/mol of atoms.

The space group is P6_3/m (No. 176) and the conventional cell measures 8.4751, 8.4751 and 5.1337 Å, with angles of 90.00, 90.00 and 120.00 degrees. Symmetry generates all atoms from Mg at (0.0920, 0.6187, 0.2500), Mg at (0.3333, 0.6667, 0.7500) and Zr at (0.0480, 0.8166, 0.7500).

=====

No. 6
Crystalline MgZr at its relaxed geometry, computed with PBE.

As for the density: 4.23 g/cm3.

The space group is Pbcm (No. 57) and the conventional cell measures 6.4817, 5.5160 and 5.0703 Å, with angles of 90.00, 90.00 and 90.00 degrees. Symmetry generates all atoms from Mg at (0.1253, 0.0860, 0.2500) and Zr at (0.3821, 0.5866, 0.2500).

=====

Raw total energy, respectively: -4.9676 -4.9748 -4.9787 -6.1515 -4.4751 -4.9671 eV/atom.